DFT (GGA-PBE) results for crystalline Na2CaNpSe4 at its relaxed geometry.

Unit cell a=7.2572 b=4.2151 c=7.3384 alpha=90.00 beta=108.98 gamma=90.00
With the nearest neighbours (Å) after each atom.
Space group P2/m (No. 10)
Inequivalent atoms, fractional coordinates:
Na1 0.0000 0.0000 0.0000 (multiplicity 1)  6 Se 3.11-3.14
Na2 0.5000 0.5000 0.0000 (multiplicity 1)  6 Se 3.00-3.03
Ca1 0.0000 0.5000 0.5000 (multiplicity 1)  6 Se 2.95-2.96
Np1 0.5000 0.0000 0.5000 (multiplicity 1)  6 Se 2.80-2.87
Se1 0.2578 0.0000 0.7298 (multiplicity 2)  1 Np 2.80, 2 Ca 2.96, 3 Na 3.03-3.14
Se2 0.2678 0.5000 0.2716 (multiplicity 2)  2 Np 2.87, 1 Ca 2.95, 3 Na 3.00-3.11

Computed properties:
V	26.5	A^3/atom
DOS(E_F)	9.81	states/eV per cell
E_tot	-42.5	eV for the cell shown
ΔE_f (raw)	-11.0	eV/f.u.
magnetic moment	3.0	μB/f.u.

DFT (GGA-PBE) results for crystalline NaCa2NpSe4 at its relaxed geometry.

Unit cell a=7.2687 b=4.2098 c=7.2835 alpha=90.00 beta=108.74 gamma=90.00
With the nearest neighbours (Å) after each atom.
Space group P2/m (No. 10)
Inequivalent atoms, fractional coordinates:
Na1 0.0000 0.0000 0.0000 (multiplicity 1)  6 Se 2.97-3.02
Ca1 0.5000 0.0000 0.5000 (multiplicity 1)  6 Se 2.95
Ca2 0.5000 0.5000 0.0000 (multiplicity 1)  6 Se 3.00-3.01
Np1 0.0000 0.5000 0.5000 (multiplicity 1)  6 Se 2.91-2.96
Se1 0.2467 0.0000 0.7447 (multiplicity 2)  3 Ca 2.95-3.01, 2 Np 2.96, 1 Na 2.97
Se2 0.2519 0.5000 0.2597 (multiplicity 2)  1 Np 2.91, 3 Ca 2.95-3.00, 2 Na 3.02

Computed properties:
V	26.4	A^3/atom
DOS(E_F)	6.99	states/eV per cell
E_tot	-44.8	eV for the cell shown
ΔE_f (raw)	-12.6	eV/f.u.
magnetic moment	4.0	μB/f.u.